No. 1
A relaxed structure of TaFe2Pd, computed with PBE-GGA.

a b c (Å): 3.714 3.714 9.105
angles (deg): 78.23 78.23 90.00
Fractional positions:
Pd (0.250, 0.750, 0.500)
Pd (0.500, 0.500, 0.000)
Fe (0.554, 0.125, 0.250)
Fe (0.196, 0.625, 0.250)
Fe (0.875, 0.804, 0.750)
Fe (0.375, 0.446, 0.750)
Ta (0.000, 0.000, 0.000)
Ta (0.750, 0.250, 0.500)

As for the calculated formation energy: 0.586 eV/atom. As for the density: 11.0 Mg/m³. The calculation puts the total energy at -7.906 eV/atom. The value obtained for the energy above the most stable polymorph in this dataset is 0.721 eV/atom. The space-group type is I-42d.

=====

No. 2
A relaxed structure of TaFePd3, computed with PBE-GGA.

a b c (Å): 4.799 4.799 4.799
angles (deg): 90.00 90.00 90.00
Last column: magnetic moment on the atom in μB.
Fractional positions:
Pd (0.000, 0.000, 0.500)  -0.07
Pd (0.000, 0.500, 0.000)  -0.04
Pd (0.500, 0.000, 0.000)  -0.01
Ta (0.000, 0.000, 0.000)  -0.16
Fe (0.500, 0.500, 0.500)  3.28

As for the calculated formation energy: 1.197 eV/atom. As for the density: 8.4 Mg/m³. The calculation puts the total energy at -5.982 eV/atom. The space-group type is Pm-3m.

=====

No. 3
A relaxed structure of Ta2Fe2Pd, computed with PBE-GGA.

a b c (Å): 3.110 3.110 8.279
angles (deg): 79.17 79.17 90.00
Last column: magnetic moment on the atom in μB.
Fractional positions:
Fe (0.750, 0.250, 0.500)  1.10
Fe (0.250, 0.750, 0.500)  1.10
Ta (0.616, 0.616, 0.768)  -0.11
Ta (0.384, 0.384, 0.232)  -0.11
Pd (0.000, 0.000, 0.000)  0.02

As for the calculated formation energy: 0.223 eV/atom. As for the density: 12.5 Mg/m³. The calculation puts the total energy at -8.942 eV/atom. The value obtained for the energy above the most stable polymorph in this dataset is 0.350 eV/atom. The space-group type is I4/mmm.

=====

No. 4
A relaxed structure of TaFe2Pd5, computed with PBE-GGA.

a b c (Å): 3.871 5.540 11.092
angles (deg): 90.00 90.00 90.00
Last column: magnetic moment on the atom in μB.
Fractional positions:
Fe (0.500, 0.745, 0.627)  2.85
Fe (0.500, 0.245, 0.873)  2.85
Fe (0.500, 0.755, 0.127)  2.85
Fe (0.500, 0.255, 0.373)  2.85
Ta (0.000, 0.000, 0.500)  -0.52
Ta (0.000, 0.500, 0.000)  -0.52
Pd (0.000, 0.492, 0.755)  0.15
Pd (0.500, 0.755, 0.379)  0.07
Pd (0.000, 0.992, 0.745)  0.15
Pd (0.000, 0.500, 0.500)  0.10
Pd (0.000, 0.008, 0.255)  0.15
Pd (0.000, 0.000, 0.000)  0.10
Pd (0.000, 0.508, 0.245)  0.15
Pd (0.500, 0.245, 0.621)  0.07
Pd (0.500, 0.745, 0.879)  0.07
Pd (0.500, 0.255, 0.121)  0.07

As for the calculated formation energy: -0.175 eV/atom. As for the density: 11.5 Mg/m³. The calculation puts the total energy at -7.018 eV/atom. The space-group type is Pbam.

=====

No. 5
A relaxed structure of Ta2FePd6, computed with PBE-GGA.

a b c (Å): 3.830 6.339 6.307
angles (deg): 107.90 107.68 90.00
Last column: magnetic moment on the atom in μB.
Fractional positions:
Pd (0.281, 0.167, 0.563)  0.02
Pd (0.604, 0.165, 0.208)  0.02
Pd (0.396, 0.835, 0.792)  0.02
Pd (0.161, 0.501, 0.322)  0.02
Pd (0.719, 0.833, 0.437)  0.02
Pd (0.839, 0.499, 0.678)  0.02
Fe (0.500, 0.500, 0.000)  2.01
Ta (0.943, 0.187, 0.886)  -0.18
Ta (0.057, 0.813, 0.114)  -0.18

As for the calculated formation energy: -0.319 eV/atom. As for the density: 12.7 Mg/m³. The calculation puts the total energy at -7.355 eV/atom. The space-group type is C2/m.

=====

No. 6
A relaxed structure of TaFe2Pd2, computed with PBE-GGA.

a b c (Å): 6.310 6.310 3.693
angles (deg): 90.00 90.00 90.00
Last column: magnetic moment on the atom in μB.
Fractional positions:
Pd (0.333, 0.167, 0.500)  0.13
Pd (0.833, 0.333, 0.500)  0.12
Pd (0.167, 0.667, 0.500)  0.12
Pd (0.667, 0.833, 0.500)  0.13
Ta (0.500, 0.500, 0.000)  -0.57
Ta (0.000, 0.000, 0.000)  -0.57
Fe (0.871, 0.629, 0.000)  2.06
Fe (0.129, 0.371, 0.000)  2.06
Fe (0.629, 0.129, 0.000)  2.06
Fe (0.371, 0.871, 0.000)  2.06

As for the calculated formation energy: 0.106 eV/atom. As for the density: 11.4 Mg/m³. The calculation puts the total energy at -7.727 eV/atom. The space-group type is P4/mbm.

=====

No. 7
A relaxed structure of TaFeTcPd2, computed with PBE-GGA.

a b c (Å): 4.520 4.455 4.520
angles (deg): 90.00 90.00 90.00
Last column: magnetic moment on the atom in μB.
Fractional positions:
Tc (0.500, 0.500, 0.500)  2.28
Fe (0.000, 0.000, 0.000)  1.68
Pd (0.500, 0.000, 0.000)  0.15
Pd (0.000, 0.000, 0.500)  0.22
Ta (0.000, 0.500, 0.000)  -0.64

As for the calculated formation energy: 1.118 eV/atom. As for the density: 10.0 Mg/m³. The calculation puts the total energy at -7.095 eV/atom. The space-group type is P4/mmm.

=====

No. 8
A relaxed structure of Ta2Ti5Fe2Pd, computed with PBE-GGA.

a b c (Å): 2.998 10.292 10.292
angles (deg): 90.00 90.00 90.00
Fractional positions:
Ti (0.500, 0.709, 0.443)
Ti (0.500, 0.943, 0.209)
Ti (0.500, 0.057, 0.791)
Ti (0.500, 0.557, 0.709)
Ti (0.500, 0.000, 0.500)
Ti (0.500, 0.291, 0.557)
Ti (0.500, 0.443, 0.291)
Ti (0.500, 0.209, 0.057)
Ti (0.500, 0.500, 0.000)
Ti (0.500, 0.791, 0.943)
Ta (0.000, 0.824, 0.676)
Ta (0.000, 0.176, 0.324)
Ta (0.000, 0.676, 0.176)
Ta (0.000, 0.324, 0.824)
Pd (0.000, 0.000, 0.000)
Pd (0.000, 0.500, 0.500)
Fe (0.000, 0.868, 0.368)
Fe (0.000, 0.632, 0.868)
Fe (0.000, 0.368, 0.132)
Fe (0.000, 0.132, 0.632)

As for the calculated formation energy: -0.181 eV/atom. As for the density: 8.6 Mg/m³. The calculation puts the total energy at -8.711 eV/atom. The space-group type is P4/mbm.

=====

No. 9
A relaxed structure of Y2TaFePd, computed with PBE-GGA.

a b c (Å): 5.176 4.455 5.176
angles (deg): 90.00 90.00 90.00
Last column: magnetic moment on the atom in μB.
Fractional positions:
Pd (0.500, 0.500, 0.500)  0.03
Fe (0.000, 0.000, 0.000)  -0.08
Y (0.000, 0.000, 0.500)  0.03
Y (0.500, 0.000, 0.000)  0.04
Ta (0.000, 0.500, 0.000)  0.35

As for the calculated formation energy: 0.287 eV/atom. As for the density: 7.2 Mg/m³. The calculation puts the total energy at -7.401 eV/atom. The space-group type is P4/mmm.

=====

No. 10
A relaxed structure of YTa2FePd, computed with PBE-GGA.

a b c (Å): 4.539 5.138 4.539
angles (deg): 90.00 90.00 90.00
Fractional positions:
Y (0.000, 0.500, 0.000)
Ta (0.500, 0.000, 0.000)
Ta (0.000, 0.000, 0.500)
Fe (0.000, 0.000, 0.000)
Pd (0.500, 0.500, 0.500)

As for the calculated formation energy: 0.532 eV/atom. As for the density: 9.6 Mg/m³. The calculation puts the total energy at -8.233 eV/atom. The space-group type is P4/mmm.

=====

No. 11
A relaxed structure of Tb2FePd, computed with PBE-GGA.

a b c (Å): 3.456 3.456 6.919
angles (deg): 90.00 90.00 90.00
Last column: magnetic moment on the atom in μB.
Fractional positions:
Fe (0.500, 0.500, 0.000)  1.82
Pd (0.500, 0.500, 0.500)  -0.01
Tb (0.000, 0.000, 0.240)  -0.27
Tb (0.000, 0.000, 0.760)  -0.27

As for the calculated formation energy: -0.365 eV/atom. As for the density: 9.6 Mg/m³. The calculation puts the total energy at -6.094 eV/atom. The space-group type is P4/mmm.

=====

No. 12
A relaxed structure of Tb3FePd12, computed with PBE-GGA.

a b c (Å): 4.089 4.089 16.190
angles (deg): 90.00 90.00 90.00
Last column: magnetic moment on the atom in μB.
Fractional positions:
Tb (0.000, 0.000, 0.757)  -0.02
Tb (0.000, 0.000, 0.243)  -0.02
Tb (0.000, 0.000, 0.500)  -0.01
Pd (0.500, 0.000, 0.371)  0.00
Pd (0.500, 0.500, 0.000)  0.25
Pd (0.000, 0.500, 0.888)  0.19
Pd (0.000, 0.500, 0.112)  0.19
Pd (0.500, 0.000, 0.629)  0.00
Pd (0.500, 0.000, 0.112)  0.19
Pd (0.000, 0.500, 0.371)  0.00
Pd (0.500, 0.500, 0.242)  0.02
Pd (0.500, 0.500, 0.500)  -0.01
Pd (0.500, 0.000, 0.888)  0.19
Pd (0.500, 0.500, 0.758)  0.02
Pd (0.000, 0.500, 0.629)  0.00
Fe (0.000, 0.000, 0.000)  3.37

As for the calculated formation energy: -0.660 eV/atom. As for the density: 11.1 Mg/m³. The calculation puts the total energy at -5.952 eV/atom. The space-group type is P4/mmm.

=====

calculated formation energy of number 6 (TaFe2Pd2)? 0.106 eV/atom